(i)
Density functional theory data (GGA-PBE) for a relaxed Sc5In crystal.

Summary:
Symmetry: No. 191

Lattice parameters (Å, degrees): 5.8849 5.8849 5.2464 90.00 90.00 120.00
With the nearest neighbours (Å) after each atom.
Element x y z (fractional)
Sc1 0.0000 0.5000 0.0000  8 Sc 2.94-3.13
Sc2 0.3333 0.6667 0.5000  9 Sc 3.13-3.40, 3 In 3.40
Sc3 0.5000 0.0000 0.0000  8 Sc 2.94-3.13
Sc4 0.5000 0.5000 0.0000  8 Sc 2.94-3.13
Sc5 0.6667 0.3333 0.5000  9 Sc 3.13-3.40, 3 In 3.40
In1 0.0000 0.0000 0.5000  6 Sc 3.40

=====

(ii)
Density functional theory data (GGA-PBE) for a relaxed Sc5In crystal.

Summary:
Symmetry: No. 8

Lattice parameters (Å, degrees): 11.7718 3.2902 7.6106 90.00 104.21 90.00
With the nearest neighbours (Å) after each atom.
Element x y z (fractional)
Sc1 0.0000 0.0000 0.0000  10 Sc 3.11-3.29, 2 In 3.31
Sc2 0.0421 0.0000 0.6117  9 Sc 3.11-3.29, 3 In 3.15-3.25
Sc3 0.1663 0.5000 0.3402  2 In 3.15, 10 Sc 3.16-3.29
Sc4 0.2201 0.5000 0.9395  2 In 3.15, 10 Sc 3.20-3.29
Sc5 0.3909 0.0000 0.2746  11 Sc 3.16-3.29, 1 In 3.23
Sc6 0.5000 0.5000 0.0000  10 Sc 3.11-3.29, 2 In 3.31
Sc7 0.5421 0.5000 0.6117  9 Sc 3.11-3.29, 3 In 3.15-3.25
Sc8 0.6663 0.0000 0.3402  2 In 3.15, 10 Sc 3.16-3.29
Sc9 0.7201 0.0000 0.9395  2 In 3.15, 10 Sc 3.20-3.29
Sc10 0.8909 0.5000 0.2746  11 Sc 3.16-3.29, 1 In 3.23
In1 0.3245 0.0000 0.6619  10 Sc 3.15-3.31, 2 In 3.29
In2 0.8245 0.5000 0.6619  10 Sc 3.15-3.31, 2 In 3.29

=====

(iii)
Density functional theory data (GGA-PBE) for a relaxed Sc5In crystal.

Summary:
Symmetry: No. 65

Lattice parameters (Å, degrees): 4.5251 13.9454 4.4884 90.00 90.00 90.00
With the nearest neighbours (Å) after each atom.
Element x y z (fractional)
Sc1 0.0000 0.0000 0.0000  4 In 3.19, 8 Sc 3.19-3.28
Sc2 0.0000 0.1625 0.5000  10 Sc 3.19-3.33, 2 In 3.20
Sc3 0.0000 0.3296 0.0000  10 Sc 3.17-3.28, 2 In 3.27
Sc4 0.0000 0.6704 0.0000  10 Sc 3.17-3.28, 2 In 3.27
Sc5 0.0000 0.8375 0.5000  10 Sc 3.19-3.33, 2 In 3.20
Sc6 0.5000 0.1704 0.0000  10 Sc 3.17-3.28, 2 In 3.27
Sc7 0.5000 0.3375 0.5000  10 Sc 3.19-3.33, 2 In 3.20
Sc8 0.5000 0.5000 0.0000  4 In 3.19, 8 Sc 3.19-3.28
Sc9 0.5000 0.6625 0.5000  10 Sc 3.19-3.33, 2 In 3.20
Sc10 0.5000 0.8296 0.0000  10 Sc 3.17-3.28, 2 In 3.27
In1 0.0000 0.5000 0.5000  12 Sc 3.19-3.27
In2 0.5000 0.0000 0.5000  12 Sc 3.19-3.27

=====

Which of them is the most stable, and which is the least stable? (iii) and (i), in that order.

=====

(i)
Density functional theory data (GGA-PBE) for a relaxed Sc4In crystal.

Summary:
Symmetry: No. 87

Lattice parameters (Å, degrees): 7.2138 7.2138 4.5213 90.00 90.00 90.00
With the nearest neighbours (Å) after each atom.
Element x y z (fractional)
Sc1 0.1076 0.6959 0.0000  9 Sc 3.15-3.29, 3 In 3.16-3.24
Sc2 0.1959 0.3924 0.5000  9 Sc 3.15-3.29, 3 In 3.16-3.24
Sc3 0.3041 0.1076 0.0000  9 Sc 3.15-3.29, 3 In 3.16-3.24
Sc4 0.3924 0.8041 0.5000  9 Sc 3.15-3.29, 3 In 3.16-3.24
Sc5 0.6076 0.1959 0.5000  9 Sc 3.15-3.29, 3 In 3.16-3.24
Sc6 0.6959 0.8924 0.0000  9 Sc 3.15-3.29, 3 In 3.16-3.24
Sc7 0.8041 0.6076 0.5000  9 Sc 3.15-3.29, 3 In 3.16-3.24
Sc8 0.8924 0.3041 0.0000  9 Sc 3.15-3.29, 3 In 3.16-3.24
In1 0.0000 0.0000 0.5000  12 Sc 3.16-3.24
In2 0.5000 0.5000 0.0000  12 Sc 3.16-3.24

=====

(ii)
Density functional theory data (GGA-PBE) for a relaxed Sc4In crystal.

Summary:
Symmetry: No. 74

Lattice parameters (Å, degrees): 8.5855 8.5855 8.5855 147.05 137.09 55.14
With the nearest neighbours (Å) after each atom.
Element x y z (fractional)
Sc1 0.0000 0.0000 0.0000  8 Sc 3.00-3.32, 4 In 3.35
Sc2 0.1980 0.1971 0.0009  7 Sc 2.92-3.20, 2 In 3.19
Sc3 0.3038 0.8029 0.5009  7 Sc 2.92-3.20, 2 In 3.19
Sc4 0.3567 0.6067 0.7500  3 In 3.14-3.31, 10 Sc 3.20-3.37
Sc5 0.5000 0.0000 0.5000  8 Sc 3.00-3.32, 4 In 3.35
Sc6 0.6433 0.3933 0.2500  3 In 3.14-3.31, 10 Sc 3.20-3.37
Sc7 0.6962 0.1971 0.4991  7 Sc 2.92-3.20, 2 In 3.19
Sc8 0.8020 0.8029 0.9991  7 Sc 2.92-3.20, 2 In 3.19
In1 0.1394 0.3894 0.7500  13 Sc 3.14-3.35
In2 0.8606 0.6106 0.2500  13 Sc 3.14-3.35

=====

Which of them is the most stable, and which is the least stable? (i) and (ii), in that order.

=====

(i)
Density functional theory data (GGA-PBE) for a relaxed Sc5In3 crystal.

Summary:
Symmetry: No. 69

Lattice parameters (Å, degrees): 7.8145 7.2769 5.4291 74.32 63.70 41.98
With the nearest neighbours (Å) after each atom.
Element x y z (fractional)
Sc1 0.0000 0.0000 0.0000  4 In 3.16-3.27, 8 Sc 3.16
Sc2 0.1251 0.1251 0.3749  6 In 3.12-3.21, 6 Sc 3.16-3.27
Sc3 0.3749 0.3749 0.1251  6 In 3.12-3.21, 6 Sc 3.16-3.27
Sc4 0.6251 0.6251 0.8749  6 In 3.12-3.21, 6 Sc 3.16-3.27
Sc5 0.8749 0.8749 0.6251  6 In 3.12-3.21, 6 Sc 3.16-3.27
In1 0.2429 0.2429 0.7571  9 Sc 3.12-3.21, 3 In 3.27-3.34
In2 0.5000 0.5000 0.5000  10 Sc 3.16-3.27, 2 In 3.34
In3 0.7571 0.7571 0.2429  9 Sc 3.12-3.21, 3 In 3.27-3.34

=====

(ii)
Density functional theory data (GGA-PBE) for a relaxed Sc5In3 crystal.

Summary:
Symmetry: No. 193

Lattice parameters (Å, degrees): 8.5520 8.5520 6.0484 90.00 90.00 120.00
With the nearest neighbours (Å) after each atom.
Element x y z (fractional)
Sc1 0.0000 0.2330 0.2500  3 In 2.98-3.13
Sc2 0.0000 0.7670 0.7500  3 In 2.98-3.13
Sc3 0.2330 0.0000 0.2500  3 In 2.98-3.13
Sc4 0.2330 0.2330 0.7500  3 In 2.98-3.13
Sc5 0.3333 0.6667 0.0000  6 In 3.02, 2 Sc 3.02
Sc6 0.3333 0.6667 0.5000  6 In 3.02, 2 Sc 3.02
Sc7 0.6667 0.3333 0.0000  6 In 3.02, 2 Sc 3.02
Sc8 0.6667 0.3333 0.5000  6 In 3.02, 2 Sc 3.02
Sc9 0.7670 0.0000 0.7500  3 In 2.98-3.13
Sc10 0.7670 0.7670 0.2500  3 In 2.98-3.13
In1 0.0000 0.4006 0.7500  7 Sc 2.98-3.13
In2 0.0000 0.5994 0.2500  7 Sc 2.98-3.13
In3 0.4006 0.0000 0.7500  7 Sc 2.98-3.13
In4 0.4006 0.4006 0.2500  7 Sc 2.98-3.13
In5 0.5994 0.0000 0.2500  7 Sc 2.98-3.13
In6 0.5994 0.5994 0.7500  7 Sc 2.98-3.13

=====

Which of them is the most stable, and which is the least stable? (ii) and (i), in that order.